DFT (GGA-PBE) results for a relaxed structure of BeSiOsRh.

abc: 4.0670 4.0670 4.0670
angles: 60.00 60.00 60.00
Positions (direct):
Si 0.7500 0.7500 0.7500
Rh 0.0000 0.0000 0.0000
Os 0.5000 0.5000 0.5000
Be 0.2500 0.2500 0.2500

E_tot (eV/cell): -30.02
Mass density (g cm⁻³): 11.5
Calculated volume (Å³/f.u.): 47.57
Symmetry: F-43m, No. 216
E_form (uncorrected) (eV/f.u.): -2.29
Magnetic moment (μB per cell): 0.00

DFT (GGA-PBE) results for a relaxed structure of Ti5CuH3.

abc: 5.7705 5.7705 7.3485
angles: 68.41 68.41 72.55
Positions (direct):
Cu 0.9006 0.9006 0.3075
Cu 0.0994 0.0994 0.6925
Ti 0.4284 0.4284 0.3553
Ti 0.2502 0.2502 0.9674
Ti 0.0540 0.6315 0.6635
Ti 0.7196 0.2804 0.0000
Ti 0.7498 0.7498 0.0326
Ti 0.9460 0.3685 0.3365
Ti 0.6315 0.0540 0.6635
Ti 0.3685 0.9460 0.3365
Ti 0.2804 0.7196 0.0000
Ti 0.5716 0.5716 0.6447
H 0.6377 0.6377 0.3412
H 0.0000 0.0000 0.5000
H 0.3623 0.3623 0.6588
H 0.3233 0.3233 0.1772
H 0.6767 0.6767 0.8228
H 0.0000 0.0000 0.0000

E_tot (eV/cell): -109.93
Mass density (g cm⁻³): 4.9
Calculated volume (Å³/f.u.): 103.85
Symmetry: C2/m, No. 12
Magnetic moment (μB per cell): 0.00

Which of these has the lowest E_tot? Ti5CuH3

Number 1 is which compound? BeSiOsRh